1.
5
Lattice="-2.8448 -3.0944 -3.3380 3.9433 -3.6415 0.0151 -2.0676 -2.2231 3.8230" Properties=species:S:1:pos:R:3 comment="CoSnSbI2 GGA-PBE optimized geometry" e_above_lowest_polymorph_ev_per_fu=0.00 pbc="T T T"
I 1.9717 -1.8207 0.0076
I -1.4224 -1.5472 -1.6690
Sb -1.0338 -1.1115 1.9115
Co 0.0000 0.0000 0.0000
Sn -0.4845 -4.4795 0.2501

---

2.
20
Lattice="9.9608 0.2885 -0.2649 -0.2796 9.9610 -0.2649 0.2725 0.2885 9.9606" Properties=species:S:1:pos:R:3 comment="Cs6Br3O GGA-PBE optimized geometry" e_tot_ev_per_atom=-2.871 pbc="T T T"
Cs 9.0996 7.4561 0.0958
Cs 7.4106 1.0101 9.0812
Cs 0.4690 9.5097 6.9102
Cs 4.2111 5.7021 1.9300
Cs 5.5701 2.4756 4.1009
Cs 2.2211 4.5292 5.3409
Cs 0.8541 3.0819 9.3350
Cs 2.5431 9.5279 0.3496
Cs 9.4847 1.0283 2.5205
Cs 5.7426 4.8359 7.5008
Cs 4.3835 8.0624 5.3299
Cs 7.7325 6.0088 4.0898
Br 3.8321 1.6383 7.3380
Br 1.2063 7.6150 3.4309
Br 7.4037 3.9192 1.0196
Br 8.7474 2.9230 5.9999
Br 2.5500 6.6188 8.4112
Br 6.1216 8.8997 2.0928
O 4.9768 5.2690 4.7154
O 0.0000 0.0000 0.0000

---

3.
8
Lattice="-2.2283 1.5057 2.7411 -3.1046 -1.7922 -1.5393 3.9893 -5.9434 3.8179" Properties=species:S:1:pos:R:3 comment="V3Pt3Rh2 GGA-PBE optimized geometry" delta_e_f_ev_per_atom=-0.49 pbc="T T T"
V 0.3471 -1.5972 1.1595
V -1.5523 -0.8961 -0.7696
V -1.6907 -4.6328 3.8602
Pt -2.3452 -1.6212 1.6739
Pt 1.0017 -4.6088 3.3459
Pt -1.1142 0.7529 1.3706
Rh -0.4627 -2.2447 3.5467
Rh -0.8809 -3.9852 1.4730

---

4.
6
Lattice="4.1028 0.0000 0.0000 -2.0514 3.5531 0.0000 0.0000 0.0000 10.5940" Properties=species:S:1:pos:R:3 comment="UGeS GGA-PBE optimized geometry" e_above_lowest_polymorph_ev_per_fu=0.93 pbc="T T T"
U 0.0000 0.0000 8.4488
U 0.0000 0.0000 2.1451
Ge 0.0000 2.3687 10.2665
Ge 2.0514 1.1844 0.3275
S 2.0514 1.1844 7.1225
S 0.0000 2.3687 3.4714

---

5.
12
Lattice="5.0533 0.0000 -0.1612 0.0000 7.4376 0.0000 -0.9739 -3.7188 7.1140" Properties=species:S:1:pos:R:3 comment="UAg3Cl2F6 GGA-PBE optimized geometry" e_tot_ev_per_atom=-4.995 pbc="T T T"
U 2.5266 0.0000 -0.0806
Ag 0.0000 3.7188 0.0000
Ag 2.0397 1.8594 3.4764
Ag 2.0397 -1.8594 3.4764
Cl 0.8558 3.7188 2.3890
Cl 3.2236 0.0000 4.5637
F 3.6664 1.5134 0.7995
F 0.4130 2.2054 6.1532
F 2.7973 3.7188 5.3430
F 1.2821 0.0000 1.6097
F 0.4130 -2.2054 6.1532
F 3.6664 5.9242 0.7995

---

6.
80
Lattice="15.5634 0.0000 0.0000 -5.1878 14.6733 0.0000 -5.1878 -7.3367 12.7075" Properties=species:S:1:pos:R:3 comment="In3Sn12Bi5 GGA-PBE optimized geometry" delta_e_f_ev_per_atom=0.19 pbc="T T T"
In 9.0787 4.5854 1.5884
In 9.0787 10.0879 1.5884
In -1.2970 6.4196 7.9422
In 1.2970 -0.9171 4.7653
In 11.6726 0.0000 3.1769
In 1.2970 7.3367 3.1769
In 3.8909 0.0000 9.5306
In -6.4848 7.3367 9.5306
In 3.8909 8.2538 7.9422
In 6.4848 0.9171 4.7653
In -3.8909 -2.7513 11.1191
In -3.8909 2.7513 11.1191
Bi -1.2970 3.6683 3.1769
Bi -2.5939 7.3367 0.0000
Bi 0.0000 0.0000 0.0000
Bi 3.8909 2.7513 1.5884
Bi 5.1878 -3.6683 6.3537
Bi 5.1878 7.3367 0.0000
Bi -3.8909 8.2538 4.7653
Bi 6.4848 -4.5854 11.1191
Bi 6.4848 6.4196 4.7653
Bi 1.2970 -3.6683 9.5306
Bi 3.8909 11.0050 3.1769
Bi 2.5939 3.6683 6.3537
Bi 7.7817 0.0000 0.0000
Bi -2.5939 -3.6683 6.3537
Bi -1.2970 0.9171 7.9422
Bi -1.2970 11.9221 1.5884
Bi -5.1878 3.6683 6.3537
Bi 9.0787 -0.9171 7.9422
Bi 1.2970 4.5854 11.1191
Bi 6.4848 3.6683 9.5306
Sn 10.3572 1.5760 0.9052
Sn 0.0185 5.2403 5.4415
Sn 11.2380 3.3077 3.3433
Sn 6.9194 2.4268 1.8175
Sn 1.9665 5.9290 8.4589
Sn 10.6290 7.1747 2.1052
Sn -0.8623 8.2176 5.1608
Sn -4.3255 12.2466 1.8175
Sn 0.6274 8.7443 8.4589
Sn 7.5284 7.4987 2.1052
Sn 7.8002 3.6724 4.5362
Sn 7.8002 13.0973 0.9052
Sn -4.5604 6.6218 7.2590
Sn 2.8473 5.5945 1.1929
Sn -5.2063 11.0009 4.5362
Sn 2.6124 -2.0964 7.2660
Sn -0.6274 0.6928 3.0104
Sn 2.8473 9.2408 0.9123
Sn 6.9194 11.3656 3.3433
Sn -0.2534 5.4325 0.9123
Sn -3.2213 8.0295 9.6971
Sn 3.4562 6.4557 5.1608
Sn 7.1543 8.0515 7.2590
Sn 5.4412 -1.7421 11.5146
Sn 1.7316 0.8809 7.5467
Sn -1.9665 -0.7148 5.4485
Sn -0.2534 9.0788 1.1929
Sn -1.7316 -4.0289 9.3642
Sn 8.4091 -0.6928 3.0104
Sn 5.4412 1.9042 11.7952
Sn 2.3405 -1.9042 11.7952
Sn 2.5754 9.4330 5.4415
Sn 5.8152 6.6439 9.6971
Sn 10.3941 -3.6643 8.1712
Sn 9.7482 0.7148 5.4485
Sn -2.6124 -5.7606 11.8023
Sn 2.3405 1.7421 11.5146
Sn 4.5604 -1.4076 4.2485
Sn -2.3405 -0.1620 10.6023
Sn -2.6124 3.6643 8.1712
Sn 9.5133 -4.9099 10.8900
Sn 6.0501 -0.8809 7.5467
Sn -1.7316 4.9099 10.8900
Sn -5.4412 0.1620 10.6023
Sn 3.2213 1.4076 4.2485
Sn -6.0501 4.0289 9.3642
Sn 5.1694 2.0964 7.2660
Sn -5.1694 5.7606 11.8023

---

7.
12
Lattice="4.2264 0.0000 0.0000 0.0000 8.6243 0.2143 -2.1132 -2.5770 8.9880" Properties=species:S:1:pos:R:3 comment="La6P3SeCl2 GGA-PBE optimized geometry" e_tot_ev_per_atom=-6.188 pbc="T T T"
La 0.0000 6.3762 6.1248
La 2.1132 4.3411 2.9868
La 2.1132 -0.3289 3.0775
La 2.1132 -0.3051 8.9365
La 0.0000 6.3524 0.2658
La 0.0000 1.7062 6.2155
P 2.1132 4.3121 0.1071
P 2.1132 -0.2576 6.0161
P 0.0000 6.3049 3.1862
Se 2.1132 0.0000 0.0000
Cl 2.1132 4.0204 6.1045
Cl 0.0000 2.0269 3.0978

---

8.
7
Lattice="-3.5787 -1.5045 -1.2796 3.3610 -4.1669 2.0277 -3.3631 3.5849 5.1908" Properties=species:S:1:pos:R:3 comment="Pr2Ge2Pt3 GGA-PBE optimized geometry" delta_e_f_ev_per_atom=-0.94 pbc="T T T"
Pr -1.4188 -3.5305 1.5904
Pr -2.1620 1.4441 4.3485
Ge -3.3002 -1.3858 4.3304
Ge -0.2806 -0.7006 1.6085
Pt -1.7893 -0.7522 -0.6398
Pt -2.8716 -0.3681 1.9352
Pt -0.7092 -1.7184 4.0037

---

Repeat the third record exactly.
8
Lattice="-2.2283 1.5057 2.7411 -3.1046 -1.7922 -1.5393 3.9893 -5.9434 3.8179" Properties=species:S:1:pos:R:3 comment="V3Pt3Rh2 GGA-PBE optimized geometry" delta_e_f_ev_per_atom=-0.49 pbc="T T T"
V 0.3471 -1.5972 1.1595
V -1.5523 -0.8961 -0.7696
V -1.6907 -4.6328 3.8602
Pt -2.3452 -1.6212 1.6739
Pt 1.0017 -4.6088 3.3459
Pt -1.1142 0.7529 1.3706
Rh -0.4627 -2.2447 3.5467
Rh -0.8809 -3.9852 1.4730